The following is a DFT calculation (PBE) of ZrHg2Pd2 after structural relaxation.

* raw total energy: -4.13 eV per atom
* total moment: 0.00 μB per formula unit
* D(E_F): 0.328 states/eV per atom
* formation enthalpy at 0 K: -0.218 eV per atom
* energy above the most stable polymorph in this dataset: 0.0000 eV/atom

Cell: 7.1497 7.1497 3.8320 Å, 90.00 90.00 90.00°
Last column: nearest neighbours and their distance in Å.
Fractional positions:
1 Zr 0.0000 0.0000 0.0000  4 Pd 2.78
2 Zr 0.5000 0.5000 0.0000  4 Pd 2.78
3 Hg 0.1653 0.6653 0.5000  6 Pd 2.78-2.89
4 Hg 0.6653 0.8347 0.5000  6 Pd 2.78-2.89
5 Hg 0.8347 0.3347 0.5000  6 Pd 2.78-2.89
6 Hg 0.3347 0.1653 0.5000  6 Pd 2.78-2.89
7 Pd 0.3639 0.8639 0.0000  1 Pd 2.75, 6 Hg 2.78-2.89, 2 Zr 2.78
8 Pd 0.8639 0.6361 0.0000  1 Pd 2.75, 6 Hg 2.78-2.89, 2 Zr 2.78
9 Pd 0.6361 0.1361 0.0000  1 Pd 2.75, 6 Hg 2.78-2.89, 2 Zr 2.78
10 Pd 0.1361 0.3639 0.0000  1 Pd 2.75, 6 Hg 2.78-2.89, 2 Zr 2.78